A plane-wave DFT calculation with PBE-GGA was carried out for a relaxed structure of LiMg2CuH.

Results
M_tot	0.00	μB per cell
total DFT energy (no corrections)	-2.607	eV/atom

Lattice parameters (Å, degrees): 4.5015 4.5015 3.3824 90.00 90.00 90.00
Space group P4/mmm (No. 123)
One atom of each set of equivalent atoms:
Li  0.0000  0.0000  0.0000 x1
Mg  0.0000  0.5000  0.5000 x2
Cu  0.5000  0.5000  0.0000 x1
H  0.0000  0.0000  0.5000 x1

A plane-wave DFT calculation with PBE-GGA was carried out for a relaxed structure of Li2MnCuH.

Results
M_tot	3.44	μB per cell
total DFT energy (no corrections)	-4.051	eV/atom

Lattice parameters (Å, degrees): 3.6988 3.6988 4.0526 90.00 90.00 90.00
Space group P4/mmm (No. 123)
One atom of each set of equivalent atoms:
Li  0.0000  0.5000  0.0000 x2
Mn  0.0000  0.0000  0.5000 x1
Cu  0.5000  0.5000  0.5000 x1
H  0.0000  0.0000  0.0000 x1

A plane-wave DFT calculation with PBE-GGA was carried out for a relaxed structure of LiMnCu2H6.

Results
M_tot	5.87	μB per cell
total DFT energy (no corrections)	-3.936	eV/atom

Lattice parameters (Å, degrees): 4.4301 4.4301 12.6737 90.00 90.00 120.00
Space group R3 (No. 146, hexagonal axes)
One atom of each set of equivalent atoms:
Li  0.0000  0.0000  0.0000 x3
Mn  0.0000  0.0000  0.5624 x3
Cu  0.0000  0.0000  0.2180 x3
Cu  0.0000  0.0000  0.7806 x3
H  0.0779  0.7104  0.1386 x9
H  0.1491  0.3503  0.3150 x9

A plane-wave DFT calculation with PBE-GGA was carried out for a relaxed structure of LiMnCu2H.

Results
M_tot	3.50	μB per cell
total DFT energy (no corrections)	-4.033	eV/atom

Lattice parameters (Å, degrees): 4.7712 4.7712 3.1503 90.00 90.00 90.00
Space group P4/mmm (No. 123)
One atom of each set of equivalent atoms:
Li  0.0000  0.0000  0.0000 x1
Mn  0.5000  0.5000  0.5000 x1
Cu  0.0000  0.5000  0.5000 x2
H  0.5000  0.5000  0.0000 x1

A plane-wave DFT calculation with PBE-GGA was carried out for a relaxed structure of Na3LiCu2H6.

Results
M_tot	0.00	μB per cell
total DFT energy (no corrections)	-2.955	eV/atom

Lattice parameters (Å, degrees): 5.3293 5.3293 6.1423 90.00 90.00 120.00
Space group P-3m1 (No. 164)
One atom of each set of equivalent atoms:
Na  0.0000  0.0000  0.0000 x1
Na  0.3333  0.6667  0.7245 x2
Li  0.0000  0.0000  0.5000 x1
Cu  0.3333  0.6667  0.2594 x2
H  0.1618  0.3236  0.2728 x6

A plane-wave DFT calculation with PBE-GGA was carried out for a relaxed structure of NaLi2CuH4.

Results
M_tot	0.00	μB per cell
total DFT energy (no corrections)	-3.081	eV/atom

Lattice parameters (Å, degrees): 4.8115 4.8115 6.9540 90.00 90.00 90.00
Space group I-42m (No. 121)
One atom of each set of equivalent atoms:
Na  0.0000  0.0000  0.0000 x2
Li  0.0000  0.5000  0.2500 x4
Cu  0.0000  0.0000  0.5000 x2
H  0.1966  0.1966  0.3644 x8

A plane-wave DFT calculation with PBE-GGA was carried out for a relaxed structure of NaLiCuH3.

Results
M_tot	0.00	μB per cell
total DFT energy (no corrections)	-3.068	eV/atom

Lattice parameters (Å, degrees): 6.4193 3.0429 7.3108 90.00 103.18 90.00
Space group P2_1/m (No. 11)
One atom of each set of equivalent atoms:
Na  0.2045  0.2500  0.2073 x2
Li  0.3592  0.7500  0.8691 x2
Cu  0.0905  0.2500  0.6241 x2
H  0.1174  0.2500  0.8480 x2
H  0.1708  0.7500  0.5318 x2
H  0.4348  0.7500  0.1370 x2

A plane-wave DFT calculation with PBE-GGA was carried out for a relaxed structure of Li2CuNiH.

Results
M_tot	0.00	μB per cell
total DFT energy (no corrections)	-3.515	eV/atom

Lattice parameters (Å, degrees): 3.7221 3.7221 3.5554 90.00 90.00 90.00
Space group P4/mmm (No. 123)
One atom of each set of equivalent atoms:
Li  0.0000  0.5000  0.0000 x2
Cu  0.0000  0.0000  0.5000 x1
Ni  0.5000  0.5000  0.5000 x1
H  0.5000  0.5000  0.0000 x1

A plane-wave DFT calculation with PBE-GGA was carried out for a relaxed structure of Li2CuNi3H8.

Results
M_tot	0.00	μB per cell
total DFT energy (no corrections)	-3.839	eV/atom

Lattice parameters (Å, degrees): 5.1842 5.1842 12.9052 90.00 90.00 120.00
Space group R3m (No. 160, hexagonal axes)
One atom of each set of equivalent atoms:
Li  0.0000  0.0000  0.0000 x3
Li  0.0000  0.0000  0.3771 x3
Cu  0.0000  0.0000  0.6244 x3
Ni  0.9999  0.4999  0.4993 x9
H  0.0000  0.0000  0.2304 x3
H  0.0000  0.0000  0.7607 x3
H  0.0362  0.5181  0.7692 x9
H  0.1771  0.3542  0.5669 x9

A plane-wave DFT calculation with PBE-GGA was carried out for a relaxed structure of Li2CuNiH6.

Results
M_tot	0.00	μB per cell
total DFT energy (no corrections)	-3.571	eV/atom

Lattice parameters (Å, degrees): 6.6015 6.6163 4.6744 90.00 134.89 90.00
Space group C2/m (No. 12)
One atom of each set of equivalent atoms:
Li  0.0000  0.2492  0.0000 x4
Cu  0.0000  0.0000  0.5000 x2
Ni  0.0000  0.5000  0.5000 x2
H  0.0000  0.2591  0.5000 x4
H  0.2368  0.5000  0.4900 x4
H  0.2475  0.5000  0.9811 x4

A plane-wave DFT calculation with PBE-GGA was carried out for a relaxed structure of Li2CuNiH.

Results
M_tot	0.00	μB per cell
total DFT energy (no corrections)	-3.394	eV/atom

Lattice parameters (Å, degrees): 3.7110 3.7110 3.6066 90.00 90.00 90.00
Space group P4/mmm (No. 123)
One atom of each set of equivalent atoms:
Li  0.0000  0.5000  0.0000 x2
Cu  0.0000  0.0000  0.5000 x1
Ni  0.5000  0.5000  0.5000 x1
H  0.0000  0.0000  0.0000 x1

A plane-wave DFT calculation with PBE-GGA was carried out for a relaxed structure of Li3CuNi2H9.

Results
M_tot	0.00	μB per cell
total DFT energy (no corrections)	-3.648	eV/atom

Lattice parameters (Å, degrees): 4.6362 4.6362 5.7015 90.00 90.00 120.00
Space group P-3m1 (No. 164)
One atom of each set of equivalent atoms:
Li  0.0000  0.0000  0.0000 x1
Li  0.3333  0.6667  0.6724 x2
Cu  0.0000  0.0000  0.5000 x1
Ni  0.3333  0.6667  0.1638 x2
H  0.0000  0.5000  0.0000 x3
H  0.1723  0.3445  0.3274 x6